Record 1
The following is a GGA-PBE calculation of a relaxed NpPd2Se crystal, from the Alexandria database.

E = -6.955 eV/atom
Crystal system = cubic

Cell: 4.7760 4.7760 4.7801 Å, 60.03 60.03 60.00°
Site moments in Bohr magnetons follow the coordinates.
Fractional positions:
Np (0.0000, 0.0000, 0.0000)  3.87
Se (0.5000, 0.5000, 0.5000)  0.00
Pd (0.7501, 0.7501, 0.7496)  -0.06
Pd (0.2499, 0.2499, 0.2504)  -0.06


Record 2
The following is a GGA-PBE calculation of a relaxed NpPdSe4 crystal, from the Alexandria database.

E = -5.848 eV/atom
Crystal system = monoclinic

Cell: 6.4124 6.6329 6.7878 Å, 90.00 97.90 90.00°
Site moments in Bohr magnetons follow the coordinates.
Fractional positions:
Np (0.0000, 0.0000, 0.0000)  3.15
Np (0.5000, 0.5000, 0.0000)  3.15
Pd (0.5000, 0.0000, 0.5000)  0.06
Pd (0.0000, 0.5000, 0.5000)  0.06
Se (0.8704, 0.6727, 0.1882)  -0.15
Se (0.6296, 0.1727, 0.8118)  -0.15
Se (0.2621, 0.2830, 0.3066)  -0.06
Se (0.2379, 0.7830, 0.6934)  -0.06
Se (0.1296, 0.3273, 0.8118)  -0.15
Se (0.3704, 0.8273, 0.1882)  -0.15
Se (0.7379, 0.7170, 0.6934)  -0.06
Se (0.7621, 0.2170, 0.3066)  -0.06


Record 3
The following is a GGA-PBE calculation of a relaxed Np2PdSe4 crystal, from the Alexandria database.

Crystal system = monoclinic
Offset from the most stable computed form = 0.000 eV per atom

Cell: 7.0505 5.8636 8.0783 Å, 90.00 107.40 90.00°
Site moments in Bohr magnetons follow the coordinates.
Fractional positions:
Np (0.7667, 0.7500, 0.0623)  3.78
Np (0.2333, 0.2500, 0.9377)  3.78
Np (0.2517, 0.2500, 0.4332)  3.79
Np (0.7483, 0.7500, 0.5668)  3.79
Pd (0.2514, 0.7500, 0.1976)  -0.16
Pd (0.7486, 0.2500, 0.8024)  -0.16
Se (0.5350, 0.4848, 0.2553)  -0.09
Se (0.0654, 0.7500, 0.8802)  -0.13
Se (0.9346, 0.2500, 0.1198)  -0.13
Se (0.5350, 0.0152, 0.2553)  -0.09
Se (0.9449, 0.2500, 0.5955)  -0.14
Se (0.4650, 0.9848, 0.7447)  -0.09
Se (0.4650, 0.5152, 0.7447)  -0.09
Se (0.0551, 0.7500, 0.4045)  -0.14


Record 4
The following is a GGA-PBE calculation of a relaxed Np3PdSe6 crystal, from the Alexandria database.

E = -7.448 eV/atom
Crystal system = orthorhombic

Cell: 6.6642 8.7353 8.7353 Å, 101.08 90.00 90.00°
Site moments in Bohr magnetons follow the coordinates.
Fractional positions:
Np (0.4697, 0.9288, 0.7245)  3.45
Np (0.9697, 0.7245, 0.9288)  3.45
Np (0.3718, 0.3922, 0.6078)  3.41
Np (0.8718, 0.6078, 0.3922)  3.41
Np (0.9697, 0.0712, 0.2755)  3.45
Np (0.4697, 0.2755, 0.0712)  3.45
Pd (0.0550, 0.1997, 0.8003)  -0.36
Pd (0.5550, 0.8003, 0.1997)  -0.36
Se (0.1699, 0.6971, 0.6288)  -0.15
Se (0.6699, 0.6288, 0.6971)  -0.15
Se (0.2165, 0.4582, 0.9148)  -0.18
Se (0.7165, 0.9148, 0.4582)  -0.18
Se (0.1861, 0.0248, 0.9752)  -0.17
Se (0.6603, 0.2277, 0.7723)  -0.18
Se (0.1603, 0.7723, 0.2277)  -0.18
Se (0.6861, 0.9752, 0.0248)  -0.17
Se (0.2165, 0.0852, 0.5419)  -0.18
Se (0.7165, 0.5419, 0.0852)  -0.18
Se (0.1699, 0.3712, 0.3029)  -0.15
Se (0.6699, 0.3029, 0.3712)  -0.15


Record 5
The following is a GGA-PBE calculation of a relaxed Np2PdSe5 crystal, from the Alexandria database.

E = -6.915 eV/atom
Crystal system = orthorhombic

Cell: 4.0422 7.8255 11.1233 Å, 90.00 90.00 90.00°
Site moments in Bohr magnetons follow the coordinates.
Fractional positions:
Np (0.5000, 0.5790, 0.1739)  3.77
Np (0.5000, 0.4210, 0.8261)  3.77
Np (0.5000, 0.9210, 0.6739)  3.77
Np (0.5000, 0.0790, 0.3261)  3.77
Pd (0.0000, 0.5000, 0.5000)  0.12
Pd (0.0000, 0.0000, 0.0000)  0.12
Se (0.0000, 0.0000, 0.5000)  -0.15
Se (0.0000, 0.5000, 0.0000)  -0.15
Se (0.0000, 0.8570, 0.2065)  -0.09
Se (0.0000, 0.1430, 0.7935)  -0.09
Se (0.0000, 0.6430, 0.7065)  -0.09
Se (0.0000, 0.3570, 0.2935)  -0.09
Se (0.5000, 0.6893, 0.4369)  -0.05
Se (0.5000, 0.3107, 0.5631)  -0.05
Se (0.5000, 0.8107, 0.9369)  -0.05
Se (0.5000, 0.1893, 0.0631)  -0.05


Record 6
The following is a GGA-PBE calculation of a relaxed Sm2NpPdSe5 crystal, from the Alexandria database.

E = -6.343 eV/atom
Crystal system = orthorhombic

Cell: 4.0289 8.9881 12.3419 Å, 90.00 90.00 102.95°
Site moments in Bohr magnetons follow the coordinates.
Fractional positions:
Sm (0.8803, 0.7605, 0.8172)  0.01
Sm (0.1122, 0.2245, 0.6927)  0.00
Sm (0.1197, 0.2395, 0.3172)  0.01
Sm (0.8878, 0.7755, 0.1927)  0.00
Np (0.8084, 0.6167, 0.5137)  3.59
Np (0.1916, 0.3833, 0.0137)  3.59
Pd (0.5639, 0.1278, 0.9447)  -0.11
Pd (0.4361, 0.8722, 0.4447)  -0.11
Se (0.3570, 0.7141, 0.0066)  -0.04
Se (0.6946, 0.3891, 0.8444)  -0.06
Se (0.4968, 0.9936, 0.7655)  -0.02
Se (0.2952, 0.5905, 0.6772)  -0.06
Se (0.9616, 0.9233, 0.5620)  -0.09
Se (0.6430, 0.2859, 0.5066)  -0.04
Se (0.3054, 0.6109, 0.3444)  -0.06
Se (0.5032, 0.0064, 0.2655)  -0.02
Se (0.7048, 0.4095, 0.1772)  -0.06
Se (0.0384, 0.0767, 0.0620)  -0.09


Record 7
The following is a GGA-PBE calculation of a relaxed SrNpPd2Se4 crystal, from the Alexandria database.

E = -5.731 eV/atom
Crystal system = orthorhombic

Cell: 6.9491 6.3147 6.3147 Å, 68.25 56.62 56.62°
Site moments in Bohr magnetons follow the coordinates.
Fractional positions:
Sr (0.0000, 0.0000, 0.0000)  0.00
Np (0.5000, 0.5000, 0.5000)  3.77
Pd (0.1898, 0.3102, 0.3102)  -0.04
Pd (0.8102, 0.6898, 0.6898)  -0.04
Se (0.4941, 0.0382, 0.5138)  -0.06
Se (0.0462, 0.9618, 0.4862)  -0.06
Se (0.9538, 0.5138, 0.0382)  -0.06
Se (0.5059, 0.4862, 0.9618)  -0.06


Record 8
The following is a GGA-PBE calculation of a relaxed Np2TlPdSe4 crystal, from the Alexandria database.

E = -6.805 eV/atom
Crystal system = orthorhombic

Cell: 4.1454 7.2737 14.5743 Å, 90.00 90.00 106.56°
Site moments in Bohr magnetons follow the coordinates.
Fractional positions:
Np (0.3681, 0.7362, 0.5679)  3.72
Np (0.6319, 0.2638, 0.0679)  3.72
Np (0.6319, 0.2638, 0.4321)  3.72
Np (0.3681, 0.7362, 0.9321)  3.72
Tl (0.1204, 0.2408, 0.7500)  -0.01
Tl (0.8796, 0.7592, 0.2500)  -0.01
Pd (0.8323, 0.6646, 0.7500)  -0.22
Pd (0.1677, 0.3354, 0.2500)  -0.22
Se (0.2676, 0.5352, 0.1035)  -0.11
Se (0.7324, 0.4648, 0.6035)  -0.11
Se (0.7324, 0.4648, 0.8965)  -0.11
Se (0.2676, 0.5352, 0.3965)  -0.11
Se (0.0000, 0.0000, 0.5000)  -0.11
Se (0.0000, 0.0000, 0.0000)  -0.11
Se (0.4391, 0.8783, 0.7500)  -0.13
Se (0.5609, 0.1217, 0.2500)  -0.13


Record 9
The following is a GGA-PBE calculation of a relaxed Np3Tl4PdSe8 crystal, from the Alexandria database.

E = -5.828 eV/atom
Crystal system = monoclinic

Cell: 8.1725 9.1488 8.1657 Å, 116.56 120.03 90.00°
Site moments in Bohr magnetons follow the coordinates.
Fractional positions:
Np (0.5000, 0.5000, 0.0000)  3.59
Np (0.5000, 0.5000, 0.5000)  3.59
Np (0.0000, 0.5000, 0.5000)  3.59
Tl (0.5000, 0.0000, 0.0000)  -0.03
Tl (0.5000, 0.0000, 0.5000)  -0.01
Tl (0.0000, 0.0000, 0.0000)  -0.01
Tl (0.0000, 0.0000, 0.5000)  -0.01
Pd (0.0000, 0.5000, 0.0000)  -0.33
Se (0.2320, 0.7003, 0.9686)  -0.12
Se (0.2307, 0.6994, 0.4615)  -0.12
Se (0.2641, 0.2927, 0.5282)  -0.09
Se (0.7366, 0.7003, 0.9686)  -0.12
Se (0.2634, 0.2997, 0.0314)  -0.12
Se (0.7359, 0.7073, 0.4718)  -0.09
Se (0.7693, 0.3006, 0.5385)  -0.12
Se (0.7680, 0.2997, 0.0314)  -0.12


Record 10
The following is a GGA-PBE calculation of a relaxed Np2Tl3PdSe6 crystal, from the Alexandria database.

E = -5.618 eV/atom
Crystal system = monoclinic

Cell: 7.0029 7.0029 8.1749 Å, 97.86 97.86 120.56°
Site moments in Bohr magnetons follow the coordinates.
Fractional positions:
Np (0.3333, 0.6667, 0.0000)  3.42
Np (0.6667, 0.3333, 0.0000)  3.42
Tl (0.1670, 0.8330, 0.5000)  -0.02
Tl (0.8330, 0.1670, 0.5000)  -0.02
Tl (0.5000, 0.5000, 0.5000)  -0.01
Pd (0.0000, 0.0000, 0.0000)  -0.18
Se (0.9332, 0.5975, 0.7954)  -0.12
Se (0.7426, 0.7426, 0.1958)  -0.10
Se (0.0668, 0.4025, 0.2046)  -0.12
Se (0.5975, 0.9332, 0.7954)  -0.12
Se (0.2574, 0.2574, 0.8042)  -0.10
Se (0.4025, 0.0668, 0.2046)  -0.12


Record 11
The following is a GGA-PBE calculation of a relaxed NpTlPdSe2 crystal, from the Alexandria database.

E = -6.028 eV/atom
Crystal system = monoclinic

Cell: 5.4232 8.5239 6.2286 Å, 110.81 90.00 90.00°
Site moments in Bohr magnetons follow the coordinates.
Fractional positions:
Np (0.4980, 0.0000, 0.2500)  3.96
Np (0.5020, 0.0000, 0.7500)  3.96
Tl (0.2309, 0.5000, 0.7500)  0.00
Tl (0.7691, 0.5000, 0.2500)  0.00
Pd (0.0000, 0.0000, 0.0000)  -0.06
Pd (0.0000, 0.0000, 0.5000)  -0.06
Se (0.7361, 0.7442, 0.8771)  -0.07
Se (0.7361, 0.2558, 0.6229)  -0.07
Se (0.2639, 0.7442, 0.3771)  -0.07
Se (0.2639, 0.2558, 0.1229)  -0.07


Record 12
The following is a GGA-PBE calculation of a relaxed Np3Tl3PdSe8 crystal, from the Alexandria database.

E = -6.030 eV/atom
Crystal system = trigonal

Cell: 8.0695 8.0678 9.2192 Å, 115.94 90.00 120.01°
Site moments in Bohr magnetons follow the coordinates.
Fractional positions:
Np (0.5000, 0.0000, 0.5000)  3.56
Np (0.5000, 0.5000, 0.5000)  3.56
Np (0.0000, 0.5000, 0.5000)  3.56
Tl (0.0000, 0.0000, 0.0000)  -0.01
Tl (0.0000, 0.5000, 0.0000)  -0.01
Tl (0.5000, 0.5000, 0.0000)  -0.01
Pd (0.0000, 0.0000, 0.5000)  -0.01
Se (0.2641, 0.5282, 0.2920)  -0.09
Se (0.7359, 0.4718, 0.7080)  -0.09
Se (0.7728, 0.5456, 0.3042)  -0.10
Se (0.2272, 0.4544, 0.6958)  -0.10
Se (0.7721, 0.0317, 0.3041)  -0.10
Se (0.2279, 0.9683, 0.6959)  -0.10
Se (0.2596, 0.0317, 0.3041)  -0.10
Se (0.7404, 0.9683, 0.6959)  -0.10


Calculated values (states/eV/atom) of Fermi-level density of states for the records, taken in order: 2.55; 1.75; 2.81; 3.03; 2.29; 1.21; 1.31; 2.74; 2.07; 1.90; 1.50; 2.09.